Record 1
Sr2LiCaRh | the Alexandria database | meta-GGA SCAN | PBEsol geometry; crystal system = tetragonal; density = 3.58 g/cm³; formation energy from the elements = 0.2512 eV/atom
1.0
5.819 0.000 0.000
0.000 5.819 0.000
0.000 0.000 4.449
Sr Li Ca Rh
2 1 1 1
Direct
0.000 0.500 0.000
0.500 0.000 0.000
0.000 0.000 0.000
0.500 0.500 0.500
0.000 0.000 0.500



Record 2
Zr3Mn | the Alexandria database | meta-GGA SCAN | PBEsol geometry; crystal system = orthorhombic; density = 7.20 g/cm³; formation energy from the elements = -0.0143 eV/atom
1.0
-1.621 4.808 2.431
1.621 -4.808 2.431
1.621 4.808 -2.431
Zr Mn
3 1
Direct
0.000 0.000 0.000
0.293 0.501 0.792
0.709 0.501 0.208
0.467 0.967 0.500



Record 3
OF | the Alexandria database | meta-GGA SCAN | PBEsol geometry; crystal system = triclinic; ΔE_f (raw) = -0.0323 eV/atom; density = 1.96 g/cm³
1.0
3.796 0.000 0.000
-1.884 3.624 0.000
-0.316 -0.348 4.306
O F
2 2
Direct
0.000 0.000 0.000
0.022 0.035 0.278
0.133 0.697 0.888
0.461 0.334 0.420



Record 4
AlBrNF2 | the Alexandria database | meta-GGA SCAN | PBEsol geometry; crystal system = tetragonal; ΔE_f (raw) = 0.4165 eV/atom; density = 3.25 g/cm³
1.0
4.724 0.000 0.000
0.000 4.724 0.000
0.000 0.000 3.637
Al Br N F
1 1 1 2
Direct
0.000 0.000 0.000
0.500 0.500 0.500
0.500 0.500 0.000
0.000 0.500 0.500
0.500 0.000 0.500



Record 5
ZrTaAl | the Alexandria database | meta-GGA SCAN | PBEsol geometry; crystal system = cubic; density = 7.44 g/cm³; formation energy from the elements = 1.0504 eV/atom
1.0
0.000 3.219 3.219
3.219 0.000 3.219
3.219 3.219 0.000
Zr Ta Al
1 1 1
Direct
0.000 0.000 0.000
0.750 0.750 0.750
0.250 0.250 0.250



Record 6
KYAs2Se | the Alexandria database | meta-GGA SCAN | PBEsol geometry; crystal system = tetragonal; ΔE_f (raw) = 0.6315 eV/atom; density = 4.33 g/cm³
1.0
5.076 0.000 0.000
0.000 5.076 0.000
0.000 0.000 5.311
K Y As Se
1 1 2 1
Direct
0.000 0.000 0.000
0.500 0.500 0.500
0.000 0.500 0.000
0.500 0.000 0.000
0.000 0.000 0.500



Record 7
YFe2Br | the Alexandria database | meta-GGA SCAN | PBEsol geometry; crystal system = tetragonal; ΔE_f (raw) = 0.2014 eV/atom; density = 6.67 g/cm³
1.0
3.788 0.000 0.000
0.000 3.788 0.000
0.000 0.000 4.866
Y Fe Br
1 2 1
Direct
0.000 0.000 0.000
0.000 0.500 0.500
0.500 0.000 0.500
0.500 0.500 0.000



Record 8
Fe2AsIr | the Alexandria database | meta-GGA SCAN | PBEsol geometry; crystal system = orthorhombic; density = 12.30 g/cm³; formation energy from the elements = -0.0247 eV/atom
1.0
2.480 -3.738 0.000
2.480 3.738 0.000
0.000 0.000 2.758
Fe As Ir
2 1 1
Direct
0.000 0.500 0.000
0.500 0.000 0.000
0.000 0.000 0.500
0.500 0.500 0.500



Record 9
MgCdNi | the Alexandria database | meta-GGA SCAN | PBEsol geometry; crystal system = tetragonal; density = 6.81 g/cm³; formation energy from the elements = -0.0700 eV/atom
1.0
-1.564 1.564 4.868
1.564 -1.564 4.868
1.564 1.564 -4.868
Mg Cd Ni
1 1 1
Direct
0.000 0.000 0.000
0.299 0.299 0.000
0.643 0.643 0.000



Record 10
Nd2Sb4Ir3 | the Alexandria database | meta-GGA SCAN | PBEsol geometry; crystal system = orthorhombic; ΔE_f (raw) = -0.8605 eV/atom; density = 11.28 g/cm³
1.0
16.090 0.000 0.000
0.000 4.519 0.000
0.000 0.000 10.953
Nd Sb Ir
8 16 12
Direct
0.007 0.250 0.248
0.248 0.750 0.590
0.252 0.250 0.090
0.493 0.750 0.748
0.507 0.250 0.252
0.748 0.750 0.910
0.752 0.250 0.410
0.993 0.750 0.752
0.068 0.750 0.447
0.107 0.750 0.062
0.150 0.250 0.776
0.212 0.250 0.387
0.288 0.750 0.887
0.350 0.750 0.276
0.393 0.250 0.562
0.432 0.250 0.947
0.568 0.750 0.053
0.607 0.750 0.438
0.650 0.250 0.724
0.712 0.250 0.113
0.788 0.750 0.613
0.850 0.750 0.224
0.893 0.250 0.938
0.932 0.250 0.553
0.056 0.250 0.966
0.093 0.250 0.557
0.182 0.750 0.276
0.318 0.250 0.776
0.407 0.750 0.057
0.444 0.750 0.466
0.556 0.250 0.534
0.593 0.250 0.943
0.682 0.750 0.224
0.818 0.250 0.724
0.907 0.750 0.443
0.944 0.750 0.034



Record 11
CuPb2I | the Alexandria database | meta-GGA SCAN | PBEsol geometry; crystal system = cubic; ΔE_f (raw) = 0.5267 eV/atom; density = 9.40 g/cm³
1.0
0.000 3.767 3.767
3.767 0.000 3.767
3.767 3.767 0.000
Cu Pb I
1 2 1
Direct
0.000 0.000 0.000
0.250 0.250 0.250
0.750 0.750 0.750
0.500 0.500 0.500



Record 12
CaZr2Te | the Alexandria database | meta-GGA SCAN | PBEsol geometry; crystal system = trigonal; ΔE_f (raw) = -0.0726 eV/atom; density = 5.56 g/cm³
1.0
1.749 1.010 9.862
-1.749 1.010 9.862
0.000 -2.020 9.862
Ca Zr Te
1 2 1
Direct
0.000 0.000 0.000
0.237 0.237 0.237
0.763 0.763 0.763
0.500 0.500 0.500



no.,M_tot (μB/atom),energy (hartree per atom)
1,0.0731,-0.6550
2,0.0000,-1.0144
3,0.0003,-0.1807
4,0.0000,-0.3050
5,0.8157,-1.2480
6,0.0000,-0.6870
7,1.2097,-0.7603
8,1.4863,-1.1727
9,0.0691,-0.6342
10,0.0000,-1.8671
11,0.0000,-1.8503
12,0.1923,-0.9978